# ZnRe2W PBE-GGA optimized geometry
data_ZnRe2W
_chemical_formula_sum 'Zn1 Re2 W1'
_cell_length_a 2.811
_cell_length_b 3.897
_cell_length_c 5.502
_cell_angle_alpha 90.00
_cell_angle_beta 90.00
_cell_angle_gamma 90.00
_symmetry_space_group_name_H-M 'P m m m'
_symmetry_Int_Tables_number 47
loop_
_symmetry_equiv_pos_as_xyz
'x,y,z'
'-x,-y,-z'
'-x,-y,z'
'x,y,-z'
'x,-y,-z'
'-x,y,z'
'-x,y,-z'
'x,-y,z'
loop_
_atom_site_label
_atom_site_fract_x
_atom_site_fract_y
_atom_site_fract_z
Zn1 0.000 0.000 0.000
Re1 0.500 0.500 0.240
W1 0.000 0.000 0.500
# ρ = 17.1 g/cm³
# Calculated total energy = -9.53 eV per atom

***

# Rb3Cd4Hg4 PBE-GGA optimized geometry
data_Rb3Cd4Hg4
_chemical_formula_sum 'Rb3 Cd4 Hg4'
_cell_length_a 5.045
_cell_length_b 5.274
_cell_length_c 15.235
_cell_angle_alpha 99.35
_cell_angle_beta 99.42
_cell_angle_gamma 90.05
_symmetry_space_group_name_H-M 'P -1'
_symmetry_Int_Tables_number 2
loop_
_symmetry_equiv_pos_as_xyz
'x,y,z'
'-x,-y,-z'
loop_
_atom_site_label
_atom_site_fract_x
_atom_site_fract_y
_atom_site_fract_z
Rb1 0.000 0.000 0.000
Rb2 0.148 0.641 0.300
Cd1 0.307 0.824 0.605
Cd2 0.452 0.455 0.899
Hg1 0.246 0.271 0.501
Hg2 0.407 0.911 0.806
# ρ = 6.4 g/cm³
# Energy above the lowest structure with this stoichiometry = 22 meV/atom
# Calculated total energy = -0.84 eV per atom

***

# Mn2Fe2Ni PBE-GGA optimized geometry
data_Mn2Fe2Ni
_chemical_formula_sum 'Mn4 Fe4 Ni2'
_cell_length_a 6.706
_cell_length_b 6.706
_cell_length_c 2.490
_cell_angle_alpha 90.00
_cell_angle_beta 90.00
_cell_angle_gamma 90.00
_symmetry_space_group_name_H-M 'P 4/m b m'
_symmetry_Int_Tables_number 127
_symmetry_space_group_name_Hall '-P 4 2ab'
loop_
_atom_site_label
_atom_site_fract_x
_atom_site_fract_y
_atom_site_fract_z
Mn1 0.124 0.376 0.000
Fe1 0.171 0.671 0.500
Ni1 0.000 0.000 0.000
# ρ = 8.3 g/cm³
# Energy above the lowest structure with this stoichiometry = 30 meV/atom
# Calculated total energy = -7.97 eV per atom

***

# KSr4 PBE-GGA optimized geometry
data_KSr4
_chemical_formula_sum 'K1 Sr4'
_cell_length_a 6.918
_cell_length_b 6.918
_cell_length_c 6.918
_cell_angle_alpha 90.00
_cell_angle_beta 90.00
_cell_angle_gamma 90.00
_symmetry_space_group_name_H-M 'P m -3 m'
_symmetry_Int_Tables_number 221
_symmetry_space_group_name_Hall '-P 4 2 3'
loop_
_atom_site_label
_atom_site_fract_x
_atom_site_fract_y
_atom_site_fract_z
K1 0.000 0.000 0.000
Sr1 0.000 0.000 0.500
Sr2 0.500 0.500 0.500
# ρ = 2.0 g/cm³
# Energy above the lowest structure with this stoichiometry = 493 meV/atom
# Calculated total energy = -1.03 eV per atom

***

# VCrB PBE-GGA optimized geometry
data_VCrB
_chemical_formula_sum 'V2 Cr2 B2'
_cell_length_a 2.895
_cell_length_b 2.895
_cell_length_c 7.292
_cell_angle_alpha 90.00
_cell_angle_beta 90.00
_cell_angle_gamma 90.00
_symmetry_space_group_name_H-M 'I 4 m m'
_symmetry_Int_Tables_number 107
_symmetry_space_group_name_Hall 'I 4 -2'
loop_
_atom_site_label
_atom_site_fract_x
_atom_site_fract_y
_atom_site_fract_z
V1 0.000 0.000 0.000
Cr1 0.000 0.000 0.313
B1 0.000 0.000 0.667
# ρ = 6.2 g/cm³
# Energy above the lowest structure with this stoichiometry = 420 meV/atom
# Calculated total energy = -8.59 eV per atom

***

# Pm7TmPb4 PBE-GGA optimized geometry
data_Pm7TmPb4
_chemical_formula_sum 'Pm14 Tm2 Pb8'
_cell_length_a 14.587
_cell_length_b 5.940
_cell_length_c 10.980
_cell_angle_alpha 90.00
_cell_angle_beta 124.75
_cell_angle_gamma 90.00
_symmetry_space_group_name_H-M 'C 1 2/m 1'
_symmetry_Int_Tables_number 12
loop_
_symmetry_equiv_pos_as_xyz
'x,y,z'
'-x,-y,-z'
'-x,y,-z'
'x,-y,z'
'x+1/2,y+1/2,z'
'-x+1/2,-y+1/2,-z'
'-x+1/2,y+1/2,-z'
'x+1/2,-y+1/2,z'
loop_
_atom_site_label
_atom_site_fract_x
_atom_site_fract_y
_atom_site_fract_z
Pm1 0.000 0.000 0.000
Pm2 0.055 0.500 0.374
Pm3 0.203 0.000 0.631
Pm4 0.208 0.500 0.891
Tm1 0.000 0.500 0.000
Pb1 0.064 0.000 0.758
Pb2 0.200 0.000 0.329
# ρ = 8.6 g/cm³
# Calculated total energy = -4.53 eV per atom

***

# Ac2Zn12CdCu3 PBE-GGA optimized geometry
data_Ac2Zn12CdCu3
_chemical_formula_sum 'Ac6 Zn36 Cd3 Cu9'
_cell_length_a 8.2312
_cell_length_b 8.2312
_cell_length_c 21.0956
_cell_angle_alpha 90.00
_cell_angle_beta 90.00
_cell_angle_gamma 120.00
_symmetry_space_group_name_H-M 'R -3 m'
_symmetry_Int_Tables_number 166
_symmetry_space_group_name_Hall '-R 3 2"'
loop_
_atom_site_label
_atom_site_fract_x
_atom_site_fract_y
_atom_site_fract_z
Ac1 0.0000 0.0000 0.1098
Zn1 0.0168 0.5084 0.3510
Zn2 0.0225 0.5112 0.8864
Cd1 0.0000 0.0000 0.5000
Cu1 0.0000 0.5000 0.0000
# ρ = 6.2 g/cm³
# Calculated total energy = -1.82 eV per atom

***

# YSb3Br PBE-GGA optimized geometry
data_YSb3Br
_chemical_formula_sum 'Y1 Sb3 Br1'
_cell_length_a 5.429
_cell_length_b 5.429
_cell_length_c 5.429
_cell_angle_alpha 90.00
_cell_angle_beta 90.00
_cell_angle_gamma 90.00
_symmetry_space_group_name_H-M 'P m -3 m'
_symmetry_Int_Tables_number 221
_symmetry_space_group_name_Hall '-P 4 2 3'
loop_
_atom_site_label
_atom_site_fract_x
_atom_site_fract_y
_atom_site_fract_z
Y1 0.000 0.000 0.000
Sb1 0.000 0.500 0.500
Br1 0.500 0.500 0.500
# ΔE_f (raw) = 0.4127 eV/atom
# ρ = 5.5 g/cm³
# Energy above the lowest structure with this stoichiometry = 148 meV/atom
# Calculated total energy = -3.69 eV per atom

***

# CuSnB3 PBE-GGA optimized geometry
data_CuSnB3
_chemical_formula_sum 'Cu1 Sn1 B3'
_cell_length_a 4.063
_cell_length_b 4.063
_cell_length_c 4.063
_cell_angle_alpha 90.00
_cell_angle_beta 90.00
_cell_angle_gamma 90.00
_symmetry_space_group_name_H-M 'P m -3 m'
_symmetry_Int_Tables_number 221
_symmetry_space_group_name_Hall '-P 4 2 3'
loop_
_atom_site_label
_atom_site_fract_x
_atom_site_fract_y
_atom_site_fract_z
Cu1 0.000 0.000 0.000
Sn1 0.500 0.500 0.500
B1 0.000 0.000 0.500
# ρ = 5.3 g/cm³
# Energy above the lowest structure with this stoichiometry = 0 meV/atom
# Calculated total energy = -4.09 eV per atom

***

# DyEr2TmBi4 PBE-GGA optimized geometry
data_DyEr2TmBi4
_chemical_formula_sum 'Dy1 Er2 Tm1 Bi4'
_cell_length_a 7.702
_cell_length_b 4.451
_cell_length_c 7.702
_cell_angle_alpha 90.00
_cell_angle_beta 109.47
_cell_angle_gamma 90.00
_symmetry_space_group_name_H-M 'P 1 2/m 1'
_symmetry_Int_Tables_number 10
loop_
_symmetry_equiv_pos_as_xyz
'x,y,z'
'-x,-y,-z'
'-x,y,-z'
'x,-y,z'
loop_
_atom_site_label
_atom_site_fract_x
_atom_site_fract_y
_atom_site_fract_z
Dy1 0.000 0.000 0.000
Er1 0.500 0.000 0.500
Er2 0.500 0.500 0.000
Tm1 0.000 0.500 0.500
Bi1 0.250 0.000 0.749
Bi2 0.251 0.500 0.252
# ρ = 10.0 g/cm³
# Calculated total energy = -5.03 eV per atom

***

# NaGa2AgPd PBE-GGA optimized geometry
data_NaGa2AgPd
_chemical_formula_sum 'Na1 Ga2 Ag1 Pd1'
_cell_length_a 4.761
_cell_length_b 4.761
_cell_length_c 5.341
_cell_angle_alpha 90.00
_cell_angle_beta 90.00
_cell_angle_gamma 90.00
_symmetry_space_group_name_H-M 'P 4/m m m'
_symmetry_Int_Tables_number 123
_symmetry_space_group_name_Hall '-P 4 2'
loop_
_atom_site_label
_atom_site_fract_x
_atom_site_fract_y
_atom_site_fract_z
Na1 0.000 0.000 0.000
Ga1 0.000 0.500 0.500
Ag1 0.500 0.500 0.000
Pd1 0.500 0.500 0.500
# ρ = 5.2 g/cm³
# Calculated total energy = -3.17 eV per atom

***

# Sr2AlSn4Pd3 PBE-GGA optimized geometry
data_Sr2AlSn4Pd3
_chemical_formula_sum 'Sr2 Al1 Sn4 Pd3'
_cell_length_a 4.543
_cell_length_b 4.543
_cell_length_c 11.597
_cell_angle_alpha 90.00
_cell_angle_beta 90.00
_cell_angle_gamma 90.00
_symmetry_space_group_name_H-M 'P -4 m 2'
_symmetry_Int_Tables_number 115
loop_
_symmetry_equiv_pos_as_xyz
'x,y,z'
'y,-x,-z'
'-x,-y,z'
'-y,x,-z'
'-x,y,z'
'-y,-x,-z'
'x,-y,z'
'y,x,-z'
loop_
_atom_site_label
_atom_site_fract_x
_atom_site_fract_y
_atom_site_fract_z
Sr1 0.000 0.500 0.250
Al1 0.000 0.000 0.500
Sn1 0.000 0.000 0.000
Sn2 0.000 0.500 0.637
Sn3 0.500 0.500 0.000
Pd1 0.000 0.500 0.868
Pd2 0.500 0.500 0.500
# ρ = 6.9 g/cm³
# Calculated total energy = -4.51 eV per atom